Below is an optimized crystal structure of In2TcSe, with properties calculated at the GGA-PBE level.

It has space group Cm (No. 8), with a = 10.792 Å, b = 3.205 Å, c = 5.107 Å, α = 90.00°, β = 108.33° and γ = 90.00°. The asymmetric unit holds In at (0.000, 0.000, 0.000), In at (0.207, 0.000, 0.637), Tc at (0.237, 0.500, 0.115) and Se at (0.400, 0.000, 0.395).

The value obtained for the density of states at the Fermi level is 7.91 states/eV/cell. The calculated density comes out at 8.05 g/cm3. For the formation energy without anion corrections, the calculation gives 0.04 eV per atom. The magnetization comes out at 0.00 μB per formula unit.